# In2IrOs2, optimized geometry, DFT PBE
data_In2IrOs2
_chemical_formula_sum 'In4 Ir2 Os4'
_cell_length_a 3.481
_cell_length_b 3.481
_cell_length_c 15.874
_cell_angle_alpha 90.00
_cell_angle_beta 90.00
_cell_angle_gamma 90.00
_space_group_name_H-M_alt 'I 4/m m m'
_space_group_IT_number 139
_space_group_name_Hall '-I 4 2'
loop_
_atom_site_label
_atom_site_fract_x
_atom_site_fract_y
_atom_site_fract_z
In1 0.000 0.000 0.099
Ir1 0.000 0.000 0.500
Os1 0.000 0.500 0.250
# Excess energy over the best structure of this formula in the dataset ... 0.00 eV per formula unit
# E_form ... 0.740 eV/atom

---

# Si2SbRh, optimized geometry, DFT PBE
data_Si2SbRh
_chemical_formula_sum 'Si4 Sb2 Rh2'
_cell_length_a 3.617
_cell_length_b 4.952
_cell_length_c 7.806
_cell_angle_alpha 90.00
_cell_angle_beta 90.00
_cell_angle_gamma 90.00
_space_group_name_H-M_alt 'I m m 2'
_space_group_IT_number 44
loop_
_space_group_symop_operation_xyz
'x,y,z'
'-x,-y,z'
'-x,y,z'
'x,-y,z'
'x+1/2,y+1/2,z+1/2'
'-x+1/2,-y+1/2,z+1/2'
'-x+1/2,y+1/2,z+1/2'
'x+1/2,-y+1/2,z+1/2'
loop_
_atom_site_label
_atom_site_fract_x
_atom_site_fract_y
_atom_site_fract_z
Si1 0.000 0.000 0.000
Si2 0.000 0.500 0.274
Sb1 0.000 0.000 0.505
Rh1 0.000 0.500 0.712
# Final energy ... -5.38 eV/atom

---

| no. | total magnetization (μB/cell) |
| --- | --- |
| 1 | 0.0 |
| 2 | 0.0 |